## PWS2Br (PBE)

Data for a relaxed PWS2Br crystal.

Calculated values
Energy ... -27.147 eV for the cell shown
Uncorrected formation energy ... 0.229 eV per atom
Energy above the lowest structure with this stoichiometry ... 0.0 meV per atom
Mass density ... 5.6 g/cm³

a = 4.5977 Å, b = 4.5977 Å, c = 5.0107 Å
α = 90.00°, β = 90.00°, γ = 90.00°
Last column: nearest neighbours and their distance in Å.
Element x y z (fractional)
P1 0.0000 0.0000 0.0000  2 W 2.51
W1 0.0000 0.0000 0.5000  4 S 2.30, 2 P 2.51
S1 0.0000 0.5000 0.5000  2 W 2.30
S2 0.5000 0.0000 0.5000  2 W 2.30
Br1 0.5000 0.5000 0.0000  4 P 3.25, 8 S 3.40